Below is an optimized crystal structure of Mn2CuBr, with properties calculated at the GGA-PBE level.

Calculated values
Its theoretical density is 6.1 Mg/m³. The polymorph energy (0 for the lowest one) is 93.9 meV per atom. The value obtained for the total moment is 8.18 μB per cell. For the uncorrected formation energy, the calculation gives 0.355 eV per atom. As for the calculated total energy: -5.67 eV/atom.

Lattice parameters (Å, degrees): 3.208 3.208 6.739 90.00 90.00 90.00
Fractional positions:
Mn 0.000 0.000 0.201
Mn 0.000 0.000 0.799
Cu 0.500 0.500 0.000
Br 0.500 0.500 0.500